Record 1
# Cs3CuHg2Br9 GGA-PBE relaxed
# Raw formation energy ... -0.937 eV per atom
data_Cs3CuHg2Br9
_chemical_formula_sum 'Cs3 Cu1 Hg2 Br9'
_cell_length_a 7.8248
_cell_length_b 7.8248
_cell_length_c 9.6111
_cell_angle_alpha 90.00
_cell_angle_beta 90.00
_cell_angle_gamma 120.00
_space_group_name_H-M_alt 'P -3 m 1'
_space_group_IT_number 164
_space_group_name_Hall '-P 3 2"'
loop_
_atom_site_label
_atom_site_type_symbol
_atom_site_fract_x
_atom_site_fract_y
_atom_site_fract_z
_atom_site_occupancy
Cs1 Cs 0.0000 0.0000 0.0000 1
Cs2 Cs 0.3333 0.6667 0.6667 1
Cu1 Cu 0.0000 0.0000 0.5000 1
Hg1 Hg 0.3333 0.6667 0.1805 1
Br1 Br 0.0000 0.5000 0.0000 1
Br2 Br 0.1586 0.3171 0.3434 1



Record 2
# ScIr2Os GGA-PBE relaxed
# Calculated formation energy ... 0.212 eV/atom
# ΔE to the lowest computed polymorph ... 603 meV/atom
data_ScIr2Os
_chemical_formula_sum 'Sc4 Ir8 Os4'
_cell_length_a 3.9206
_cell_length_b 3.9206
_cell_length_c 17.8803
_cell_angle_alpha 90.00
_cell_angle_beta 90.00
_cell_angle_gamma 90.00
_space_group_name_H-M_alt 'I -4 2 d'
_space_group_IT_number 122
_space_group_name_Hall 'I -4 2bw'
loop_
_atom_site_label
_atom_site_type_symbol
_atom_site_fract_x
_atom_site_fract_y
_atom_site_fract_z
_atom_site_occupancy
Sc1 Sc 0.0000 0.0000 0.0000 1
Ir1 Ir 0.2301 0.2500 0.6250 1
Os1 Os 0.0000 0.0000 0.5000 1



Record 3
# Ca2PmUAs4 GGA-PBE relaxed
# Calculated formation energy ... -1.146 eV/atom
data_Ca2PmUAs4
_chemical_formula_sum 'Ca2 Pm1 U1 As4'
_cell_length_a 7.2620
_cell_length_b 4.2242
_cell_length_c 7.2811
_cell_angle_alpha 90.00
_cell_angle_beta 109.36
_cell_angle_gamma 90.00
_space_group_name_H-M_alt 'P 1 2/m 1'
_space_group_IT_number 10
loop_
_space_group_symop_operation_xyz
'x,y,z'
'-x,-y,-z'
'-x,y,-z'
'x,-y,z'
loop_
_atom_site_label
_atom_site_type_symbol
_atom_site_fract_x
_atom_site_fract_y
_atom_site_fract_z
_atom_site_occupancy
Ca1 Ca 0.0000 0.0000 0.0000 1
Ca2 Ca 0.0000 0.5000 0.5000 1
Pm1 Pm 0.5000 0.0000 0.5000 1
U1 U 0.5000 0.5000 0.0000 1
As1 As 0.2650 0.5000 0.2392 1
As2 As 0.2698 0.0000 0.7681 1



Record 4
# PmPrMgPt GGA-PBE relaxed
# Calculated formation energy ... -0.485 eV/atom
data_PmPrMgPt
_chemical_formula_sum 'Pm4 Pr4 Mg4 Pt4'
_cell_length_a 7.4343
_cell_length_b 7.4343
_cell_length_c 7.4343
_cell_angle_alpha 90.00
_cell_angle_beta 90.00
_cell_angle_gamma 90.00
_space_group_name_H-M_alt 'F -4 3 m'
_space_group_IT_number 216
_space_group_name_Hall 'F -4 2 3'
loop_
_atom_site_label
_atom_site_type_symbol
_atom_site_fract_x
_atom_site_fract_y
_atom_site_fract_z
_atom_site_occupancy
Pm1 Pm 0.0000 0.0000 0.0000 1
Pr1 Pr 0.0000 0.0000 0.5000 1
Mg1 Mg 0.2500 0.2500 0.7500 1
Pt1 Pt 0.2500 0.2500 0.2500 1



Record 5
# Sr3ErPa2As6 GGA-PBE relaxed
# Calculated formation energy ... -1.235 eV/atom
data_Sr3ErPa2As6
_chemical_formula_sum 'Sr6 Er2 Pa4 As12'
_cell_length_a 7.3442
_cell_length_b 12.7182
_cell_length_c 7.5313
_cell_angle_alpha 90.00
_cell_angle_beta 108.95
_cell_angle_gamma 90.00
_space_group_name_H-M_alt 'C 1 2/m 1'
_space_group_IT_number 12
loop_
_space_group_symop_operation_xyz
'x,y,z'
'-x,-y,-z'
'-x,y,-z'
'x,-y,z'
'x+1/2,y+1/2,z'
'-x+1/2,-y+1/2,-z'
'-x+1/2,y+1/2,-z'
'x+1/2,-y+1/2,z'
loop_
_atom_site_label
_atom_site_type_symbol
_atom_site_fract_x
_atom_site_fract_y
_atom_site_fract_z
_atom_site_occupancy
Sr1 Sr 0.0000 0.0000 0.0000 1
Sr2 Sr 0.0000 0.3349 0.0000 1
Er1 Er 0.0000 0.5000 0.5000 1
Pa1 Pa 0.0000 0.1669 0.5000 1
As1 As 0.2334 0.0000 0.7181 1
As2 As 0.2424 0.3303 0.7180 1



Record 6
# Pu2In2Se5 GGA-PBE relaxed
# Raw formation energy ... -0.874 eV per atom
data_Pu2In2Se5
_chemical_formula_sum 'Pu4 In4 Se10'
_cell_length_a 14.5673
_cell_length_b 4.6097
_cell_length_c 9.3133
_cell_angle_alpha 90.00
_cell_angle_beta 122.99
_cell_angle_gamma 90.00
_space_group_name_H-M_alt 'C 1 2/m 1'
_space_group_IT_number 12
loop_
_space_group_symop_operation_xyz
'x,y,z'
'-x,-y,-z'
'-x,y,-z'
'x,-y,z'
'x+1/2,y+1/2,z'
'-x+1/2,-y+1/2,-z'
'-x+1/2,y+1/2,-z'
'x+1/2,-y+1/2,z'
loop_
_atom_site_label
_atom_site_type_symbol
_atom_site_fract_x
_atom_site_fract_y
_atom_site_fract_z
_atom_site_occupancy
Pu1 Pu 0.1154 0.0000 0.4716 1
In1 In 0.1355 0.5000 0.9900 1
Se1 Se 0.0000 0.5000 0.5000 1
Se2 Se 0.1214 0.0000 0.8236 1
Se3 Se 0.1442 0.5000 0.2906 1



Record 7
# Sr3Zr5Se12 GGA-PBE relaxed
# Raw formation energy ... -1.384 eV per atom
data_Sr3Zr5Se12
_chemical_formula_sum 'Sr24 Zr40 Se96'
_cell_length_a 16.8797
_cell_length_b 16.8797
_cell_length_c 16.8797
_cell_angle_alpha 90.00
_cell_angle_beta 90.00
_cell_angle_gamma 90.00
_space_group_name_H-M_alt 'I a -3 d'
_space_group_IT_number 230
_space_group_name_Hall '-I 4bd 2c 3'
loop_
_atom_site_label
_atom_site_type_symbol
_atom_site_fract_x
_atom_site_fract_y
_atom_site_fract_z
_atom_site_occupancy
Sr1 Sr 0.0000 0.2500 0.1250 1
Zr1 Zr 0.0000 0.0000 0.0000 1
Zr2 Zr 0.0000 0.2500 0.3750 1
Se1 Se 0.0303 0.0591 0.6481 1



Record 8
# TcAgClO4 GGA-PBE relaxed
# Raw formation energy ... -0.917 eV per atom
data_TcAgClO4
_chemical_formula_sum 'Tc4 Ag4 Cl4 O16'
_cell_length_a 9.9312
_cell_length_b 8.2264
_cell_length_c 8.3893
_cell_angle_alpha 90.00
_cell_angle_beta 120.12
_cell_angle_gamma 90.00
_space_group_name_H-M_alt 'C 1 2/m 1'
_space_group_IT_number 12
loop_
_space_group_symop_operation_xyz
'x,y,z'
'-x,-y,-z'
'-x,y,-z'
'x,-y,z'
'x+1/2,y+1/2,z'
'-x+1/2,-y+1/2,-z'
'-x+1/2,y+1/2,-z'
'x+1/2,-y+1/2,z'
loop_
_atom_site_label
_atom_site_type_symbol
_atom_site_fract_x
_atom_site_fract_y
_atom_site_fract_z
_atom_site_occupancy
Tc1 Tc 0.1183 0.0000 0.3094 1
Ag1 Ag 0.2006 0.5000 0.1729 1
Cl1 Cl 0.0489 0.5000 0.8364 1
O1 O 0.0852 0.0000 0.8434 1
O2 O 0.1452 0.0000 0.5343 1
O3 O 0.2006 0.1710 0.2746 1



Number 1: calculated volume 33.975 Å³/atom. Number 2: calculated volume 17.177 Å³/atom. Number 3: calculated volume 26.341 Å³/atom. Number 4: calculated volume 25.680 Å³/atom. Number 5: calculated volume 27.723 Å³/atom. Number 6: calculated volume 29.141 Å³/atom. Number 7: calculated volume 30.059 Å³/atom. Number 8: calculated volume 21.174 Å³/atom.